Record 1
SmBiBr2O2 after structural relaxation, computed with PBE-GGA.

Values from the calculation:
crystal system = tetragonal
VASP energy = -34.0 eV/cell

Unit cell a=3.9197 b=3.9197 c=8.2974 alpha=90.00 beta=90.00 gamma=90.00
Last column: nearest neighbours and their distance in Å.
Space group P4mm (No. 99)
Unique sites:
Sm (0.0000, 0.0000, 0.0000) x1  4 O 2.31
Bi (0.5000, 0.5000, 0.7032) x1  4 O 2.32
Br (0.0000, 0.0000, 0.5057) x1  4 Bi 3.22, 4 O 3.48
Br (0.5000, 0.5000, 0.1876) x1  4 Sm 3.18, 4 O 3.40
O (0.0000, 0.5000, 0.8530) x2  2 Sm 2.31, 2 Bi 2.32

***

Record 2
TaBi4BrO8 after structural relaxation, computed with PBE-GGA.

Values from the calculation:
crystal system = orthorhombic
VASP energy = -369.7 eV/cell

Unit cell a=5.5036 b=5.5413 c=29.0556 alpha=90.00 beta=90.00 gamma=90.00
Last column: nearest neighbours and their distance in Å.
Space group Pbcn (No. 60)
Unique sites:
Ta (0.0000, 0.0123, 0.2500) x4  6 O 1.91-2.10
Bi (0.0082, 0.0077, 0.5695) x8  4 O 2.22-2.29
Bi (0.0194, 0.4509, 0.3416) x8  4 O 2.26-2.37
Br (0.0000, 0.5000, 0.0000) x4  8 Bi 3.38-3.46, 8 O 3.65-3.72
O (0.0944, 0.0633, 0.3155) x8  1 Ta 1.99
O (0.2475, 0.2894, 0.2352) x8  2 Ta 1.91-2.10
O (0.2489, 0.2418, 0.1084) x8  3 Bi 2.22-2.37
O (0.2499, 0.2474, 0.8938) x8  3 Bi 2.22-2.29

***

Record 3
TbBiBr2O2 after structural relaxation, computed with PBE-GGA.

Values from the calculation:
crystal system = tetragonal
VASP energy = -34.0 eV/cell

Unit cell a=3.8765 b=3.8765 c=8.3797 alpha=90.00 beta=90.00 gamma=90.00
Last column: nearest neighbours and their distance in Å.
Space group P4mm (No. 99)
Unique sites:
Tb (0.0000, 0.0000, 0.0000) x1  4 O 2.26
Bi (0.5000, 0.5000, 0.2905) x1  4 O 2.32
Br (0.0000, 0.0000, 0.4897) x1  4 Bi 3.21, 4 O 3.52
Br (0.5000, 0.5000, 0.8126) x1  4 Tb 3.16, 4 O 3.35
O (0.0000, 0.5000, 0.1391) x2  2 Tb 2.26, 2 Bi 2.32

***

Record 4
Bi20Pt3Br36 after structural relaxation, computed with PBE-GGA.

Values from the calculation:
crystal system = monoclinic
VASP energy = -391.8 eV/cell

Unit cell a=16.3590 b=15.0960 c=17.7845 alpha=90.00 beta=111.02 gamma=90.00
Last column: nearest neighbours and their distance in Å.
Space group C2/m (No. 12)
Unique sites:
Bi (0.0503, 0.0000, 0.4066) x4  1 Pt 2.76, 2 Br 2.81
Bi (0.0856, 0.3686, 0.1077) x8  1 Pt 2.76, 4 Br 2.87-3.07
Bi (0.0967, 0.1323, 0.2314) x8  1 Pt 2.75, 2 Br 2.81-2.82
Bi (0.1270, 0.5000, 0.9317) x4  1 Pt 2.76, 4 Br 2.88-3.07
Bi (0.1591, 0.0000, 0.8314) x4  6 Br 2.83-2.97
Bi (0.1872, 0.5000, 0.7200) x4  1 Pt 2.76, 4 Br 2.87-3.04
Bi (0.2325, 0.3719, 0.5513) x8  1 Pt 2.77, 4 Br 2.88-3.02
Pt (0.0000, 0.5000, 0.0000) x2  6 Bi 2.76
Pt (0.1775, 0.0000, 0.3386) x4  6 Bi 2.75-2.77
Br (0.0000, 0.2270, 0.0000) x4  2 Bi 2.88
Br (0.0275, 0.0000, 0.9012) x4  1 Bi 2.84
Br (0.0431, 0.3630, 0.8176) x8  2 Bi 2.87-2.88
Br (0.0740, 0.1359, 0.7216) x8  1 Bi 2.83
Br (0.0916, 0.3630, 0.6127) x8  2 Bi 2.87-2.89
Br (0.1236, 0.1375, 0.5164) x8  2 Bi 2.81-3.01
Br (0.1387, 0.5000, 0.4317) x4  2 Bi 2.88
Br (0.1709, 0.2742, 0.3354) x8  2 Bi 2.81-3.02
Br (0.1981, 0.5000, 0.2338) x4  3 Bi 2.96-3.07
Br (0.2195, 0.1379, 0.1538) x8  2 Bi 2.82-3.04
Br (0.2419, 0.3635, 0.0507) x8  3 Bi 2.97-3.07

***

Record 5
Lu4CdBiC2 after structural relaxation, computed with PBE-GGA.

Values from the calculation:
crystal system = hexagonal
VASP energy = -45.4 eV/cell

Unit cell a=3.5339 b=3.5339 c=15.6870 alpha=90.00 beta=90.00 gamma=120.00
Last column: nearest neighbours and their distance in Å.
Space group P-6m2 (No. 187)
Unique sites:
Lu (0.0000, 0.0000, 0.1678) x2  3 C 2.38
Lu (0.3333, 0.6667, 0.3324) x2  3 C 2.45
Cd (0.0000, 0.0000, 0.5000) x1  6 Lu 3.33, 6 Cd 3.53
Bi (0.3333, 0.6667, 0.0000) x1  6 Lu 3.33, 6 Bi 3.53
C (0.6667, 0.3333, 0.2463) x2  6 Lu 2.38-2.45

***

Record 6
Ta4CdBiC2 after structural relaxation, computed with PBE-GGA.

Values from the calculation:
crystal system = hexagonal
VASP energy = -72.2 eV/cell

Unit cell a=3.2656 b=3.2656 c=14.1153 alpha=90.00 beta=90.00 gamma=120.00
Last column: nearest neighbours and their distance in Å.
Space group P-6m2 (No. 187)
Unique sites:
Ta (0.0000, 0.0000, 0.1686) x2  3 C 2.21
Ta (0.6667, 0.3333, 0.3289) x2  3 C 2.19
Cd (0.0000, 0.0000, 0.5000) x1  6 Ta 3.06, 6 Cd 3.27
Bi (0.6667, 0.3333, 0.0000) x1  6 Ta 3.04, 6 Bi 3.27
C (0.3333, 0.6667, 0.2497) x2  6 Ta 2.19-2.21